LiCd4Pt15, relaxed, DFT GGA-PBE; E_form = -0.227 eV/atom
1.0
4.0002 0.0000 0.0000
0.0000 4.0002 0.0000
0.0000 0.0000 20.1671
Li Cd Pt
1 4 15
direct
0.0000 0.0000 0.0000
0.0000 0.0000 0.1950
0.0000 0.0000 0.3982
0.0000 0.0000 0.6018
0.0000 0.0000 0.8050
0.0000 0.5000 0.0928
0.0000 0.5000 0.2964
0.0000 0.5000 0.5000
0.0000 0.5000 0.7036
0.0000 0.5000 0.9072
0.5000 0.0000 0.0928
0.5000 0.0000 0.2964
0.5000 0.0000 0.5000
0.5000 0.0000 0.7036
0.5000 0.0000 0.9072
0.5000 0.5000 0.0000
0.5000 0.5000 0.1942
0.5000 0.5000 0.3981
0.5000 0.5000 0.6019
0.5000 0.5000 0.8058


Li4Cd2Pt3, relaxed, DFT GGA-PBE; E_form = -0.467 eV/atom
1.0
3.7685 -6.6602 0.0000
3.7685 6.6602 0.0000
0.0000 0.0000 5.5382
Li Cd Pt
8 4 6
direct
0.1517 0.1667 0.0000
0.1525 0.4848 0.0000
0.1667 0.1517 0.5000
0.4848 0.1525 0.5000
0.5152 0.8475 0.5000
0.8333 0.8483 0.5000
0.8475 0.5152 0.0000
0.8483 0.8333 0.0000
0.1791 0.4964 0.5000
0.4964 0.1791 0.0000
0.5036 0.8209 0.0000
0.8209 0.5036 0.5000
0.1655 0.8345 0.2500
0.1655 0.8345 0.7500
0.5000 0.5000 0.2500
0.5000 0.5000 0.7500
0.8345 0.1655 0.2500
0.8345 0.1655 0.7500


Li2CdPt, relaxed, DFT GGA-PBE; E_form = -0.409 eV/atom
1.0
2.9592 0.0000 0.0000
0.0000 8.9237 0.0000
0.0000 0.0000 4.8793
Li Cd Pt
4 2 2
direct
0.2500 0.0118 0.2225
0.2500 0.4882 0.2225
0.7500 0.5118 0.7775
0.7500 0.9882 0.7775
0.2500 0.2500 0.5990
0.7500 0.7500 0.4010
0.2500 0.7500 0.9054
0.7500 0.2500 0.0946


Li2CdPt2, relaxed, DFT GGA-PBE; E_form = -0.429 eV/atom; energy above the lowest structure with this stoichiometry = 0.0079 eV per atom
1.0
7.2290 0.0000 0.0000
0.0000 7.2290 0.0000
0.0000 0.0000 2.8521
Li Cd Pt
4 2 4
direct
0.1164 0.3836 0.0000
0.3836 0.8836 0.0000
0.6164 0.1164 0.0000
0.8836 0.6164 0.0000
0.0000 0.0000 0.0000
0.5000 0.5000 0.0000
0.1810 0.6810 0.5000
0.3190 0.1810 0.5000
0.6810 0.8190 0.5000
0.8190 0.3190 0.5000


LiCd3Pt4, relaxed, DFT GGA-PBE; E_form = -0.378 eV/atom
1.0
-2.0727 2.0727 7.7972
2.0727 -2.0727 7.7972
2.0727 2.0727 -7.7972
Li Cd Pt
1 3 4
direct
0.0000 0.0000 0.0000
0.2493 0.2493 0.0000
0.5000 0.5000 0.0000
0.7507 0.7507 0.0000
0.1220 0.6220 0.5000
0.3780 0.8780 0.5000
0.6220 0.1220 0.5000
0.8780 0.3780 0.5000


LiCd2Pt2, relaxed, DFT GGA-PBE; E_form = -0.153 eV/atom; energy above the lowest structure with this stoichiometry = 0.2275 eV per atom
1.0
-1.9515 1.9515 6.6479
1.9515 -1.9515 6.6479
1.9515 1.9515 -6.6479
Li Cd Pt
1 2 2
direct
0.0000 0.0000 0.0000
0.3969 0.3969 0.0000
0.6031 0.6031 0.0000
0.2500 0.7500 0.5000
0.7500 0.2500 0.5000


Li3Cd8Pt4, relaxed, DFT GGA-PBE; E_form = -0.406 eV/atom
1.0
6.5361 0.0000 0.0000
0.0000 6.5361 0.0000
0.0000 0.0000 6.5361
Li Cd Pt
3 8 4
direct
0.0000 0.0000 0.5000
0.0000 0.5000 0.0000
0.5000 0.0000 0.0000
0.2557 0.2557 0.2557
0.2557 0.2557 0.7443
0.2557 0.7443 0.2557
0.2557 0.7443 0.7443
0.7443 0.2557 0.2557
0.7443 0.2557 0.7443
0.7443 0.7443 0.2557
0.7443 0.7443 0.7443
0.0000 0.0000 0.0000
0.0000 0.5000 0.5000
0.5000 0.0000 0.5000
0.5000 0.5000 0.0000


LiCd5Pt, relaxed, DFT GGA-PBE; E_form = 0.152 eV/atom
1.0
-3.8720 5.1936 2.4648
3.8720 -5.1936 2.4648
3.8720 5.1936 -2.4648
Li Cd Pt
1 5 1
direct
0.0000 0.0000 0.0000
0.0574 0.8113 0.2461
0.4914 0.4914 0.0000
0.5653 0.8113 0.7539
0.8102 0.1298 0.3196
0.8102 0.4906 0.6804
0.3081 0.8081 0.5000


LiCd8Pt2, relaxed, DFT GGA-PBE; E_form = -0.160 eV/atom
1.0
4.1296 -5.8018 0.0000
4.1296 5.8018 0.0000
-1.0557 0.0000 5.0720
Li Cd Pt
1 8 2
direct
0.0000 0.0000 0.0000
0.0673 0.3192 0.6286
0.2538 0.7462 0.0000
0.3192 0.0673 0.6286
0.3534 0.3534 0.1767
0.6466 0.6466 0.8233
0.6808 0.9327 0.3714
0.7462 0.2538 0.0000
0.9327 0.6808 0.3714
0.3214 0.6786 0.5000
0.6786 0.3214 0.5000


Li2CdPt, relaxed, DFT GGA-PBE; E_form = -0.253 eV/atom
1.0
1.4475 0.8357 9.4162
-1.4475 0.8357 9.4162
0.0000 -1.6715 9.4162
Li Cd Pt
2 1 1
direct
0.0000 0.0000 0.0000
0.2413 0.2413 0.2413
0.4912 0.4912 0.4912
0.7377 0.7377 0.7377


Li2Cd2Pt, relaxed, DFT GGA-PBE; E_form = -0.404 eV/atom; energy above the lowest structure with this stoichiometry = 0.0000 eV per atom
1.0
4.1382 -2.2491 0.0000
4.1382 2.2491 0.0000
-3.1720 0.0000 4.6534
Li Cd Pt
2 2 1
direct
0.1972 0.1972 0.0832
0.8028 0.8028 0.9168
0.3968 0.3968 0.6869
0.6032 0.6032 0.3131
0.0000 0.0000 0.5000


LiCd3Pt, relaxed, DFT GGA-PBE; E_form = -0.344 eV/atom; energy above the lowest structure with this stoichiometry = 0.0000 eV per atom
1.0
4.5562 0.0000 0.0000
0.0009 4.5854 0.0000
2.2559 0.0000 8.8268
Li Cd Pt
2 6 2
direct
0.1586 0.2507 0.1817
0.8414 0.7493 0.8183
0.0596 0.7503 0.3816
0.2510 0.7502 0.9992
0.4395 0.7500 0.6218
0.5605 0.2500 0.3782
0.7490 0.2498 0.0008
0.9404 0.2497 0.6184
0.3440 0.2504 0.8102
0.6560 0.7496 0.1898